A plane-wave DFT calculation with PBE-GGA was carried out for crystalline Pu3Sc5S8 at its relaxed geometry.

Its space group is R-3m, No. 166. For the calculated total energy, the calculation gives -8.568 eV per atom.

Cell: 7.5567 7.5567 7.6000 Å, 60.19 60.19 60.00°
Last column: nearest neighbours and their distance in Å.
Atoms (fractional coordinates):
Pu 0.5000 0.0000 0.5000  6 S 2.75
Pu 0.0000 0.5000 0.5000  6 S 2.75
S 0.7374 0.2500 0.7625  4 Sc 2.61-2.68, 2 Pu 2.75
S 0.7440 0.7440 0.7681  3 Sc 2.62, 3 Pu 2.75
S 0.2560 0.2560 0.2319  3 Sc 2.62, 3 Pu 2.75
S 0.7500 0.2626 0.2375  4 Sc 2.61-2.68, 2 Pu 2.75
S 0.2626 0.7500 0.2375  4 Sc 2.61-2.68, 2 Pu 2.75
S 0.2500 0.7374 0.7625  4 Sc 2.61-2.68, 2 Pu 2.75
Sc 0.0000 0.0000 0.0000  6 S 2.68
S 0.2500 0.2500 0.7625  4 Sc 2.61-2.68, 2 Pu 2.75
Pu 0.0000 0.0000 0.5000  6 S 2.75
Sc 0.5000 0.5000 0.0000  6 S 2.61-2.62
S 0.7500 0.7500 0.2375  4 Sc 2.61-2.68, 2 Pu 2.75
Sc 0.0000 0.5000 0.0000  6 S 2.61-2.62
Sc 0.5000 0.0000 0.0000  6 S 2.61-2.62
Sc 0.5000 0.5000 0.5000  6 S 2.68

A plane-wave DFT calculation with PBE-GGA was carried out for crystalline RbSn4Au6 at its relaxed geometry.

The calculation puts the energy of formation at -124.6 meV/atom. Its space group is I-42m, No. 121. The energy above the most stable polymorph in this dataset comes out at 52 meV/atom.

Cell: 7.3749 7.3749 7.3749 Å, 89.61 120.22 120.22°
Last column: nearest neighbours and their distance in Å.
Atoms (fractional coordinates):
Au 0.5000 0.5000 0.0000  4 Au 2.97, 4 Sn 3.09
Au 0.5000 0.0000 0.5000  4 Au 2.97, 4 Sn 3.09
Rb 0.0000 0.0000 0.0000  8 Au 3.47-3.68, 4 Sn 3.58
Sn 0.0000 0.1647 0.5416  4 Au 2.71-2.83
Au 0.0000 0.8141 0.4333  4 Sn 2.71-2.83, 2 Au 2.97
Sn 0.3768 0.8353 0.8353  4 Au 2.71-2.83
Au 0.3808 0.5667 0.5667  4 Sn 2.71-2.83, 2 Au 2.97
Au 0.6192 0.1859 0.1859  4 Sn 2.71-2.83, 2 Au 2.97
Sn 0.0000 0.5416 0.1647  4 Au 2.71-2.83
Au 0.0000 0.4333 0.8141  4 Sn 2.71-2.83, 2 Au 2.97
Sn 0.6232 0.4584 0.4584  4 Au 2.71-2.83

A plane-wave DFT calculation with PBE-GGA was carried out for crystalline Sc2SnCl at its relaxed geometry.

Its space group is R-3m, No. 166. The energy above the most stable polymorph in this dataset comes out at 0 meV/atom.

Cell: 7.9177 7.9177 7.9177 Å, 32.82 32.82 32.82°
Last column: nearest neighbours and their distance in Å.
Atoms (fractional coordinates):
Cl 0.0000 0.0000 0.0000  2 Sc 2.49
Sc 0.8893 0.8893 0.8893  1 Cl 2.49
Sn 0.5000 0.5000 0.5000  6 Sc 2.87
Sc 0.1107 0.1107 0.1107  1 Cl 2.49

A plane-wave DFT calculation with PBE-GGA was carried out for crystalline AcEuSn2 at its relaxed geometry.

The calculation puts the energy of formation at -429.2 meV/atom. Its space group is R-3m, No. 166.

Cell: 4.0841 4.0841 10.0380 Å, 78.26 78.26 60.00°
Last column: nearest neighbours and their distance in Å.
Atoms (fractional coordinates):
Ac 0.5000 0.5000 0.5000  6 Sn 3.46
Sn 0.7470 0.7470 0.7590  3 Eu 3.33, 3 Ac 3.46
Eu 0.0000 0.0000 0.0000  6 Sn 3.33
Sn 0.2530 0.2530 0.2410  3 Eu 3.33, 3 Ac 3.46

A plane-wave DFT calculation with PBE-GGA was carried out for crystalline CsBaSi2Sb at its relaxed geometry.

Its space group is P4/mmm, No. 123. For the calculated total energy, the calculation gives -2.341 eV per atom.

Cell: 5.8073 5.8073 6.6276 Å, 90.00 90.00 90.00°
Last column: nearest neighbours and their distance in Å.
Atoms (fractional coordinates):
Si 0.0000 0.5000 0.0000  2 Ba 2.90
Ba 0.0000 0.0000 0.0000  4 Si 2.90
Sb 0.5000 0.5000 0.5000  4 Cs 4.11, 8 Si 4.41
Si 0.5000 0.0000 0.0000  2 Ba 2.90
Cs 0.0000 0.0000 0.5000  2 Ba 3.31

A plane-wave DFT calculation with PBE-GGA was carried out for crystalline K2NaUBr8 at its relaxed geometry.

Its space group is P-1, No. 2. For the calculated total energy, the calculation gives -3.766 eV per atom.

Cell: 7.4642 6.9599 9.9055 Å, 90.22 89.72 94.91°
Last column: nearest neighbours and their distance in Å.
Atoms (fractional coordinates):
U 0.0000 0.0000 0.0000  6 Br 2.69-2.72
K 0.5001 0.4967 0.7270  2 Br 3.13
Br 0.6861 0.7704 0.9991  1 U 2.72
Br 0.1324 0.7804 0.8055  1 U 2.69
Na 0.0000 0.0000 0.5000  2 Br 2.71
K 0.4999 0.5033 0.2730  2 Br 3.13
Br 0.3139 0.2296 0.0009  1 U 2.72
Br 0.2906 0.2620 0.4986  1 Na 2.71
Br 0.8705 0.2206 0.8069  1 U 2.69
Br 0.1295 0.7794 0.1931  1 U 2.69
Br 0.7094 0.7380 0.5014  1 Na 2.71
Br 0.8676 0.2196 0.1945  1 U 2.69